[1]
Computed, not measured: LaMnRu2 at its PBEsol-relaxed geometry at the meta-GGA SCAN level of DFT.

a = 9.494 Å, b = 3.025 Å, c = 5.080 Å
α = 90.00°, β = 104.41°, γ = 90.00°
Space group Cm (No. 8)
Asymmetric unit:
La 0.000 0.000 0.000
Mn 0.217 0.000 0.671
Ru 0.265 0.500 0.338
Ru 0.493 0.000 0.477

Values from the calculation:
ρ: 9.306 g/cm³
total DFT energy (no corrections): -260.872 eV for the cell shown

[2]
Computed, not measured: YCoTc2 at its PBEsol-relaxed geometry at the meta-GGA SCAN level of DFT.

a = 3.146 Å, b = 4.277 Å, c = 4.605 Å
α = 90.00°, β = 90.00°, γ = 90.00°
Space group Pmmm (No. 47)
Asymmetric unit:
Y 0.000 0.000 0.000
Co 0.500 0.500 0.000
Tc 0.000 0.500 0.500
Tc 0.500 0.000 0.500

Values from the calculation:
offset from the most stable computed form: 69.3 meV/atom
ρ: 9.213 g/cm³
total DFT energy (no corrections): -114.519 eV for the cell shown

[3]
Computed, not measured: CuRh5 at its PBEsol-relaxed geometry at the meta-GGA SCAN level of DFT.

a = 9.712 Å, b = 2.681 Å, c = 6.321 Å
α = 90.00°, β = 104.74°, γ = 90.00°
Space group Cm (No. 8)
Asymmetric unit:
Cu 0.000 0.000 0.000
Rh 0.056 0.000 0.613
Rh 0.166 0.500 0.333
Rh 0.222 0.500 0.946
Rh 0.333 0.000 0.671
Rh 0.387 0.000 0.277

Values from the calculation:
offset from the most stable computed form: 3.3 meV/atom
ρ: 12.064 g/cm³
total DFT energy (no corrections): -367.230 eV for the cell shown

V: 17.66; 15.49; 13.26 (Å³ per atom)
Formation energy: 3.3; 4.3; 1.7 (kcal/mol of atoms)